Entry 1:
Compound: PmH2Pb
Source: Alexandria via LeMat-Bulk
Functional: PBE-GGA
Structure: optimized geometry

Output
- E: -16.67 eV/cell
- Space-group type: No. 166
- Volume: 17.678 Å³/atom
- M_tot: 0.00 μB per cell

abc: 3.755 3.755 6.184
angles: 72.33 72.33 60.00
Fractional coordinates of all 4 atoms:
H (0.697, 0.697, 0.910)
H (0.303, 0.303, 0.090)
Pb (0.500, 0.500, 0.500)
Pm (0.000, 0.000, 0.000)



Entry 2:
Compound: Pm3H4Pb
Source: Alexandria via LeMat-Bulk
Functional: PBE-GGA
Structure: optimized geometry

Output
- E: -36.55 eV/cell
- Space-group type: No. 123
- Volume: 17.143 Å³/atom
- M_tot: 0.00 μB per cell

abc: 3.923 3.923 8.912
angles: 90.00 90.00 90.00
Fractional coordinates of all 8 atoms:
Pm (0.000, 0.000, 0.000)
Pm (0.500, 0.500, 0.289)
Pm (0.500, 0.500, 0.711)
Pb (0.000, 0.000, 0.500)
H (0.000, 0.500, 0.147)
H (0.500, 0.000, 0.853)
H (0.000, 0.500, 0.853)
H (0.500, 0.000, 0.147)



Entry 3:
Compound: PmH6Pt2Pb
Source: Alexandria via LeMat-Bulk
Functional: PBE-GGA
Structure: optimized geometry

Output
- E: -86.51 eV/cell
- Space-group type: No. 15
- Volume: 13.274 Å³/atom
- M_tot: 0.00 μB per cell

abc: 6.091 6.091 7.740
angles: 105.73 105.73 89.38
Fractional coordinates of all 20 atoms:
H (0.337, 0.653, 0.469)
H (0.566, 0.861, 0.356)
H (0.663, 0.347, 0.531)
H (0.304, 0.884, 0.723)
H (0.347, 0.663, 0.031)
H (0.861, 0.566, 0.856)
H (0.696, 0.116, 0.277)
H (0.139, 0.434, 0.144)
H (0.884, 0.304, 0.223)
H (0.116, 0.696, 0.777)
H (0.653, 0.337, 0.969)
H (0.434, 0.139, 0.644)
Pt (0.482, 0.096, 0.853)
Pt (0.518, 0.904, 0.147)
Pt (0.904, 0.518, 0.647)
Pt (0.096, 0.482, 0.353)
Pm (0.548, 0.452, 0.250)
Pm (0.452, 0.548, 0.750)
Pb (0.073, 0.927, 0.250)
Pb (0.927, 0.073, 0.750)



Entry 4:
Compound: Pm3HPbSe
Source: Alexandria via LeMat-Bulk
Functional: PBE-GGA
Structure: optimized geometry

Output
- E: -61.09 eV/cell
- Space-group type: No. 11
- Volume: 26.591 Å³/atom
- M_tot: 0.00 μB per cell

abc: 4.310 8.433 8.878
angles: 98.61 90.00 90.00
Fractional coordinates of all 12 atoms:
Pm (0.250, 0.825, 0.467)
Pm (0.750, 0.886, 0.128)
Pm (0.250, 0.114, 0.872)
Pm (0.750, 0.175, 0.533)
Pm (0.750, 0.417, 0.179)
Pm (0.250, 0.583, 0.821)
H (0.250, 0.089, 0.599)
H (0.750, 0.911, 0.401)
Pb (0.250, 0.157, 0.252)
Pb (0.750, 0.843, 0.748)
Se (0.750, 0.350, 0.847)
Se (0.250, 0.650, 0.153)



Entry 5:
Compound: Pm4Sm2H2Pb3
Source: Alexandria via LeMat-Bulk
Functional: PBE-GGA
Structure: optimized geometry

Output
- E: -51.11 eV/cell
- Space-group type: No. 139
- Volume: 27.198 Å³/atom
- M_tot: 0.00 μB per cell

abc: 4.796 4.796 13.441
angles: 100.28 100.28 90.00
Fractional coordinates of all 11 atoms:
Pb (0.177, 0.177, 0.353)
Pb (0.000, 0.000, 0.000)
Pb (0.823, 0.823, 0.647)
Pm (0.416, 0.916, 0.832)
Pm (0.084, 0.584, 0.168)
Pm (0.584, 0.084, 0.168)
Pm (0.916, 0.416, 0.832)
Sm (0.699, 0.699, 0.398)
Sm (0.301, 0.301, 0.602)
H (0.395, 0.395, 0.790)
H (0.605, 0.605, 0.210)



Entry 6:
Compound: Pr6HPb2
Source: Alexandria via LeMat-Bulk
Functional: PBE-GGA
Structure: optimized geometry

Output
- E: -84.68 eV/cell
- Space-group type: No. 14
- Volume: 30.821 Å³/atom
- M_tot: 0.00 μB per cell

abc: 6.657 8.099 10.290
angles: 90.00 90.31 90.00
Fractional coordinates of all 18 atoms:
Pr (0.131, 0.027, 0.747)
Pr (0.888, 0.697, 0.958)
Pr (0.869, 0.973, 0.253)
Pr (0.388, 0.803, 0.458)
Pr (0.612, 0.197, 0.542)
Pr (0.369, 0.527, 0.753)
Pr (0.613, 0.206, 0.958)
Pr (0.387, 0.794, 0.042)
Pr (0.112, 0.303, 0.042)
Pr (0.631, 0.473, 0.247)
Pr (0.113, 0.294, 0.458)
Pr (0.887, 0.706, 0.542)
Pb (0.600, 0.892, 0.753)
Pb (0.400, 0.108, 0.247)
Pb (0.100, 0.608, 0.253)
Pb (0.900, 0.392, 0.747)
H (0.000, 0.000, 0.500)
H (0.500, 0.500, 0.000)



Entry 7:
Compound: PrHPb
Source: Alexandria via LeMat-Bulk
Functional: PBE-GGA
Structure: optimized geometry

Output
- Space-group type: No. 107
- Volume: 22.862 Å³/atom
- M_tot: 0.00 μB per cell
- Relative energy among the computed polymorphs: 202.7 meV per atom

abc: 3.370 3.370 6.491
angles: 105.05 105.05 90.00
Fractional coordinates of all 3 atoms:
Pb (0.006, 0.006, 0.013)
H (0.268, 0.268, 0.535)
Pr (0.726, 0.726, 0.452)



Entry 8:
Compound: Pr3HPb
Source: Alexandria via LeMat-Bulk
Functional: PBE-GGA
Structure: optimized geometry

Output
- Space-group type: No. 221
- Volume: 25.854 Å³/atom
- M_tot: 0.00 μB per cell
- Relative energy among the computed polymorphs: 0.0 meV per atom

abc: 5.056 5.056 5.056
angles: 90.00 90.00 90.00
Fractional coordinates of all 5 atoms:
Pr (0.000, 0.500, 0.000)
Pr (0.000, 0.000, 0.500)
Pr (0.500, 0.000, 0.000)
Pb (0.500, 0.500, 0.500)
H (0.000, 0.000, 0.000)



Entry 9:
Compound: Pr3HPb2
Source: Alexandria via LeMat-Bulk
Functional: PBE-GGA
Structure: optimized geometry

Output
- E: -56.00 eV/cell
- Space-group type: No. 15
- Volume: 28.753 Å³/atom
- M_tot: 0.00 μB per cell

abc: 6.590 9.008 6.869
angles: 103.41 118.66 90.00
Fractional coordinates of all 12 atoms:
Pr (0.266, 0.654, 0.289)
Pr (0.652, 0.750, 0.000)
Pr (0.348, 0.250, 0.000)
Pr (0.734, 0.346, 0.711)
Pr (0.023, 0.154, 0.289)
Pr (0.977, 0.846, 0.711)
Pb (0.773, 0.507, 0.292)
Pb (0.227, 0.493, 0.708)
Pb (0.518, 0.007, 0.292)
Pb (0.482, 0.993, 0.708)
H (0.006, 0.250, 0.000)
H (0.994, 0.750, 0.000)



Entry 10:
Compound: Pr2HPb
Source: Alexandria via LeMat-Bulk
Functional: PBE-GGA
Structure: optimized geometry

Output
- Space-group type: No. 166
- Volume: 26.948 Å³/atom
- M_tot: 0.45 μB per cell
- Relative energy among the computed polymorphs: 254.1 meV per atom

abc: 4.432 4.432 6.834
angles: 71.08 71.08 60.00
Last column: magnetic moment on the atom in μB.
Fractional coordinates of all 4 atoms:
Pr (0.737, 0.737, 0.790)  0.10
Pr (0.263, 0.263, 0.210)  0.10
Pb (0.500, 0.500, 0.500)  -0.01
H (0.000, 0.000, 0.000)  -0.01



Entry 11:
Compound: PrHPb
Source: Alexandria via LeMat-Bulk
Functional: PBE-GGA
Structure: optimized geometry

Output
- Space-group type: No. 156
- Volume: 22.982 Å³/atom
- M_tot: 0.00 μB per cell
- Relative energy among the computed polymorphs: 0.0 meV per atom

abc: 5.330 3.865 3.865
angles: 120.00 90.00 90.00
Fractional coordinates of all 3 atoms:
Pb (0.666, 0.667, 0.333)
Pr (0.166, 0.000, 0.000)
H (0.167, 0.333, 0.667)



Entry 12:
Compound: Pr2HPb
Source: Alexandria via LeMat-Bulk
Functional: PBE-GGA
Structure: optimized geometry

Output
- Space-group type: No. 71
- Volume: 26.367 Å³/atom
- M_tot: 0.47 μB per cell
- Relative energy among the computed polymorphs: 0.0 meV per atom

abc: 4.061 6.718 8.670
angles: 112.79 103.55 90.01
Last column: magnetic moment on the atom in μB.
Fractional coordinates of all 8 atoms:
Pr (0.640, 0.090, 0.855)  0.00
Pr (0.330, 0.530, 0.235)  0.13
Pr (0.331, 0.029, 0.235)  0.13
Pr (0.020, 0.470, 0.616)  0.00
H (0.222, 0.171, 0.018)  0.00
H (0.439, 0.389, 0.453)  0.00
Pb (0.973, 0.922, 0.520)  0.00
Pb (0.688, 0.638, 0.951)  0.00



Entry 13:
Compound: Pr2HPb
Source: Alexandria via LeMat-Bulk
Functional: PBE-GGA
Structure: optimized geometry

Output
- Space-group type: No. 65
- Volume: 24.623 Å³/atom
- M_tot: 0.00 μB per cell
- Relative energy among the computed polymorphs: 36.9 meV per atom

abc: 4.412 5.033 9.221
angles: 105.84 90.00 90.00
Fractional coordinates of all 8 atoms:
Pb (0.000, 0.851, 0.702)
Pb (0.000, 0.149, 0.298)
Pr (0.500, 0.681, 0.362)
Pr (0.500, 0.000, 0.000)
Pr (0.000, 0.500, 0.000)
Pr (0.500, 0.319, 0.638)
H (0.500, 0.445, 0.891)
H (0.500, 0.555, 0.109)



Entry 14:
Compound: Pr3H12Pb5
Source: Alexandria via LeMat-Bulk
Functional: PBE-GGA
Structure: optimized geometry

Output
- E: -289.02 eV/cell
- Space-group type: No. 230
- Volume: 15.939 Å³/atom
- M_tot: 0.00 μB per cell

abc: 11.832 11.832 11.832
angles: 109.47 109.47 109.47
Fractional coordinates of all 80 atoms:
H (0.422, 0.340, 0.578)
H (0.082, 0.660, 0.738)
H (0.238, 0.582, 0.660)
H (0.922, 0.078, 0.840)
H (0.762, 0.344, 0.922)
H (0.262, 0.422, 0.844)
H (0.656, 0.418, 0.578)
H (0.922, 0.078, 0.660)
H (0.918, 0.578, 0.156)
H (0.156, 0.078, 0.738)
H (0.738, 0.578, 0.156)
H (0.582, 0.344, 0.922)
H (0.922, 0.844, 0.762)
H (0.344, 0.582, 0.422)
H (0.840, 0.262, 0.418)
H (0.660, 0.578, 0.922)
H (0.660, 0.082, 0.238)
H (0.844, 0.922, 0.262)
H (0.840, 0.578, 0.922)
H (0.918, 0.340, 0.262)
H (0.578, 0.660, 0.422)
H (0.078, 0.922, 0.340)
H (0.344, 0.762, 0.422)
H (0.156, 0.078, 0.918)
H (0.578, 0.738, 0.656)
H (0.418, 0.656, 0.078)
H (0.262, 0.840, 0.918)
H (0.340, 0.422, 0.078)
H (0.078, 0.156, 0.238)
H (0.422, 0.160, 0.578)
H (0.578, 0.918, 0.656)
H (0.582, 0.238, 0.160)
H (0.762, 0.418, 0.340)
H (0.844, 0.922, 0.082)
H (0.160, 0.422, 0.078)
H (0.238, 0.656, 0.078)
H (0.078, 0.156, 0.418)
H (0.422, 0.262, 0.344)
H (0.340, 0.918, 0.762)
H (0.578, 0.840, 0.422)
H (0.422, 0.082, 0.344)
H (0.082, 0.422, 0.844)
H (0.922, 0.844, 0.582)
H (0.160, 0.738, 0.582)
H (0.418, 0.762, 0.840)
H (0.738, 0.160, 0.082)
H (0.078, 0.922, 0.160)
H (0.656, 0.238, 0.578)
Pb (0.250, 0.375, 0.625)
Pb (0.000, 0.000, 0.000)
Pb (0.500, 0.000, 0.500)
Pb (0.500, 0.000, 0.000)
Pb (0.625, 0.750, 0.875)
Pb (0.500, 0.500, 0.500)
Pb (0.125, 0.750, 0.375)
Pb (0.000, 0.500, 0.500)
Pb (0.250, 0.875, 0.125)
Pb (0.625, 0.875, 0.250)
Pb (0.375, 0.125, 0.750)
Pb (0.000, 0.500, 0.000)
Pb (0.500, 0.500, 0.000)
Pb (0.750, 0.625, 0.375)
Pb (0.125, 0.375, 0.250)
Pb (0.875, 0.625, 0.750)
Pb (0.375, 0.250, 0.125)
Pb (0.750, 0.125, 0.875)
Pb (0.875, 0.250, 0.625)
Pb (0.000, 0.000, 0.500)
Pr (0.750, 0.875, 0.625)
Pr (0.625, 0.250, 0.375)
Pr (0.875, 0.750, 0.125)
Pr (0.250, 0.625, 0.875)
Pr (0.750, 0.375, 0.125)
Pr (0.625, 0.375, 0.750)
Pr (0.125, 0.875, 0.750)
Pr (0.375, 0.625, 0.250)
Pr (0.375, 0.750, 0.625)
Pr (0.250, 0.125, 0.375)
Pr (0.125, 0.250, 0.875)
Pr (0.875, 0.125, 0.250)



Entry 15:
Compound: PrHPb
Source: Alexandria via LeMat-Bulk
Functional: PBE-GGA
Structure: optimized geometry

Output
- Space-group type: No. 15
- Volume: 23.610 Å³/atom
- M_tot: 0.00 μB per cell
- Relative energy among the computed polymorphs: 215.7 meV per atom

abc: 9.191 9.191 6.338
angles: 65.24 65.24 66.49
Fractional coordinates of all 18 atoms:
H (0.078, 0.922, 0.750)
H (0.640, 0.367, 0.402)
H (0.360, 0.633, 0.598)
H (0.633, 0.360, 0.098)
H (0.922, 0.078, 0.250)
H (0.367, 0.640, 0.902)
Pr (0.577, 0.423, 0.750)
Pr (0.651, 0.100, 0.399)
Pr (0.349, 0.900, 0.601)
Pr (0.900, 0.349, 0.101)
Pr (0.100, 0.651, 0.899)
Pr (0.423, 0.577, 0.250)
Pb (0.886, 0.114, 0.750)
Pb (0.801, 0.680, 0.642)
Pb (0.680, 0.801, 0.142)
Pb (0.199, 0.320, 0.358)
Pb (0.114, 0.886, 0.250)
Pb (0.320, 0.199, 0.858)



Entry 16:
Compound: Pr2HPb
Source: Alexandria via LeMat-Bulk
Functional: PBE-GGA
Structure: optimized geometry

Output
- Space-group type: No. 123
- Volume: 24.390 Å³/atom
- M_tot: 0.00 μB per cell
- Relative energy among the computed polymorphs: 362.9 meV per atom

abc: 3.499 3.499 7.971
angles: 90.00 90.00 90.00
Fractional coordinates of all 4 atoms:
Pb (0.500, 0.500, 0.500)
H (0.500, 0.500, 0.000)
Pr (0.000, 0.000, 0.212)
Pr (0.000, 0.000, 0.788)



Entry 17:
Compound: Pr3HPb
Source: Alexandria via LeMat-Bulk
Functional: PBE-GGA
Structure: optimized geometry

Output
- Space-group type: No. 11
- Volume: 26.374 Å³/atom
- M_tot: 0.00 μB per cell
- Relative energy among the computed polymorphs: 42.5 meV per atom

abc: 6.877 8.708 8.856
angles: 95.97 90.00 90.00
Fractional coordinates of all 20 atoms:
Pb (0.750, 0.040, 0.703)
Pb (0.750, 0.540, 0.203)
Pb (0.250, 0.960, 0.297)
Pb (0.250, 0.460, 0.797)
Pr (0.502, 0.197, 0.052)
Pr (0.002, 0.803, 0.949)
Pr (0.002, 0.303, 0.448)
Pr (0.502, 0.697, 0.551)
Pr (0.998, 0.697, 0.552)
Pr (0.750, 0.937, 0.321)
Pr (0.750, 0.437, 0.821)
Pr (0.498, 0.803, 0.948)
Pr (0.250, 0.563, 0.179)
Pr (0.250, 0.063, 0.679)
Pr (0.998, 0.197, 0.051)
Pr (0.498, 0.303, 0.449)
H (0.750, 0.485, 0.563)
H (0.250, 0.515, 0.437)
H (0.250, 0.015, 0.937)
H (0.750, 0.985, 0.063)



Entry 18:
Compound: Pr6H2Pb3
Source: Alexandria via LeMat-Bulk
Functional: PBE-GGA
Structure: optimized geometry

Output
- E: -51.40 eV/cell
- Space-group type: No. 139
- Volume: 28.679 Å³/atom
- M_tot: 0.00 μB per cell

abc: 4.878 4.878 13.697
angles: 100.26 100.26 90.00
Fractional coordinates of all 11 atoms:
Pb (0.824, 0.824, 0.649)
Pb (0.176, 0.176, 0.351)
Pb (0.000, 0.000, 0.000)
Pr (0.700, 0.700, 0.399)
Pr (0.583, 0.083, 0.166)
Pr (0.917, 0.417, 0.834)
Pr (0.083, 0.583, 0.166)
Pr (0.300, 0.300, 0.601)
Pr (0.417, 0.917, 0.834)
H (0.604, 0.604, 0.209)
H (0.396, 0.396, 0.791)



Entry 19:
Compound: Pr2H3Pb
Source: Alexandria via LeMat-Bulk
Functional: PBE-GGA
Structure: optimized geometry

Output
- E: -53.16 eV/cell
- Space-group type: No. 12
- Volume: 18.103 Å³/atom
- M_tot: 0.00 μB per cell

abc: 4.027 8.886 8.572
angles: 131.96 90.00 103.10
Fractional coordinates of all 12 atoms:
Pr (0.827, 0.654, 0.281)
Pr (0.512, 0.025, 0.794)
Pr (0.173, 0.346, 0.719)
Pr (0.488, 0.975, 0.206)
Pb (0.839, 0.677, 0.735)
Pb (0.161, 0.323, 0.265)
H (0.597, 0.193, 0.562)
H (0.018, 0.036, 0.668)
H (0.982, 0.964, 0.332)
H (0.318, 0.637, 0.092)
H (0.403, 0.807, 0.438)
H (0.682, 0.363, 0.908)